Li2InGa2 | PBEsol | optimized geometry

Lattice parameters (Å, degrees): 7.471 7.471 3.110 90.00 90.00 90.00
Fractional positions:
Li 0.177 0.323 0.000
Li 0.323 0.823 0.000
Li 0.677 0.177 0.000
Li 0.823 0.677 0.000
In 0.000 0.000 0.500
In 0.500 0.500 0.500
Ga 0.121 0.621 0.500
Ga 0.379 0.121 0.500
Ga 0.621 0.879 0.500
Ga 0.879 0.379 0.500

Results
The space group is P4/mbm. The value obtained for the energy relative to the elements is -1.11 eV/f.u.

CuMoP3 | PBEsol | optimized geometry

Lattice parameters (Å, degrees): 4.610 4.610 4.610 90.00 90.00 90.00
Fractional positions:
Cu 0.000 0.000 0.000
Mo 0.500 0.500 0.500
P 0.000 0.500 0.500
P 0.500 0.000 0.500
P 0.500 0.500 0.000

Results
The space group is Pm-3m. The value obtained for the energy relative to the elements is 3.92 eV/f.u.

MgInCl3 | PBEsol | optimized geometry

Lattice parameters (Å, degrees): 4.924 4.924 4.924 90.00 90.00 90.00
Fractional positions:
Mg 0.000 0.000 0.000
In 0.500 0.500 0.500
Cl 0.000 0.000 0.500
Cl 0.000 0.500 0.000
Cl 0.500 0.000 0.000

Results
The space group is Pm-3m. The calculation puts the uncorrected formation energy at -1.3852 eV/atom.

Li2YMg | PBEsol | optimized geometry

Lattice parameters (Å, degrees): 5.229 5.229 3.267 90.00 90.00 90.18
Fractional positions:
Li 0.000 0.500 0.000
Li 0.500 0.000 0.000
Y 0.000 0.000 0.500
Mg 0.500 0.500 0.500

Results
The space group is Cmmm. The value obtained for the energy relative to the elements is 0.46 eV/f.u.